[1]
Material: AcLaPrTm
Method: DFT, PBE
State: relaxed

Unit cell a=3.766 b=3.766 c=12.066 alpha=90.00 beta=90.00 gamma=120.00
Atoms (fractional coordinates):
Ac (0.000, 0.000, 0.000)
La (0.667, 0.333, 0.514)
Pr (0.333, 0.667, 0.262)
Tm (0.333, 0.667, 0.752)

* symmetry: P3m1, No. 156
* energy above the most stable polymorph in this dataset: 0 meV/atom
* V: 148.2 Å³ per cell
* total magnetic moment: 0.0 μB/f.u.
* formation energy from the elements: 59.2 meV/atom

[2]
Material: AcLa4PrTm2
Method: DFT, PBE
State: relaxed

Unit cell a=11.707 b=5.245 c=10.526 alpha=90.00 beta=116.86 gamma=90.00
Atoms (fractional coordinates):
Ac (0.000, 0.000, 0.000)
Ac (0.500, 0.500, 0.000)
La (0.248, 0.000, 0.871)
La (0.249, 0.500, 0.623)
La (0.251, 0.000, 0.377)
La (0.252, 0.500, 0.129)
La (0.748, 0.500, 0.871)
La (0.749, 0.000, 0.623)
La (0.751, 0.500, 0.377)
La (0.752, 0.000, 0.129)
Pr (0.000, 0.000, 0.500)
Pr (0.500, 0.500, 0.500)
Tm (0.001, 0.500, 0.746)
Tm (0.499, 0.000, 0.254)
Tm (0.501, 0.000, 0.746)
Tm (0.999, 0.500, 0.254)

* symmetry: C2/m, No. 12
* V: 576.6 Å³ per cell
* total magnetic moment: 0.0 μB/f.u.
* formation energy from the elements: 30.1 meV/atom

[3]
Material: Ac2La5PrTm
Method: DFT, PBE
State: relaxed

Unit cell a=10.303 b=10.303 c=10.303 alpha=126.10 beta=126.10 gamma=79.72
Atoms (fractional coordinates):
Ac (0.125, 0.625, 0.750)
Ac (0.375, 0.125, 0.500)
Ac (0.625, 0.875, 0.500)
Ac (0.875, 0.375, 0.250)
La (0.000, 0.000, 0.000)
La (0.058, 0.149, 0.500)
La (0.149, 0.649, 0.091)
La (0.351, 0.442, 0.500)
La (0.442, 0.942, 0.091)
La (0.500, 0.500, 0.000)
La (0.558, 0.058, 0.909)
La (0.649, 0.558, 0.500)
La (0.851, 0.351, 0.909)
La (0.942, 0.851, 0.500)
Pr (0.250, 0.250, 0.000)
Pr (0.750, 0.750, 0.000)
Tm (0.250, 0.750, 0.500)
Tm (0.750, 0.250, 0.500)

* symmetry: I4/mcm, No. 140
* V: 689.7 Å³ per cell
* total magnetic moment: 0.0 μB/f.u.
* formation energy from the elements: 310.8 meV/atom

[4]
Material: AcLaPr2Tm4
Method: DFT, PBE
State: relaxed

Unit cell a=7.304 b=7.304 c=12.428 alpha=107.11 beta=107.11 gamma=59.97
Atoms (fractional coordinates):
Ac (0.000, 0.000, 0.000)
Ac (0.000, 0.000, 0.500)
La (0.000, 0.500, 0.000)
La (0.500, 0.000, 0.000)
Pr (0.000, 0.500, 0.500)
Pr (0.500, 0.000, 0.500)
Pr (0.500, 0.500, 0.000)
Pr (0.500, 0.500, 0.500)
Tm (0.252, 0.252, 0.253)
Tm (0.252, 0.252, 0.751)
Tm (0.253, 0.746, 0.750)
Tm (0.254, 0.747, 0.250)
Tm (0.746, 0.253, 0.750)
Tm (0.747, 0.254, 0.250)
Tm (0.748, 0.748, 0.249)
Tm (0.748, 0.748, 0.747)

* symmetry: C2/m, No. 12
* V: 540.0 Å³ per cell
* total magnetic moment: 0.0 μB/f.u.
* formation energy from the elements: 30.1 meV/atom

[5]
Material: AcLa3PrTm
Method: DFT, PBE
State: relaxed

Unit cell a=10.991 b=10.991 c=7.117 alpha=91.47 beta=91.47 gamma=31.62
Atoms (fractional coordinates):
Ac (0.149, 0.149, 0.031)
Ac (0.851, 0.851, 0.969)
La (0.015, 0.015, 0.747)
La (0.281, 0.281, 0.716)
La (0.340, 0.340, 0.254)
La (0.660, 0.660, 0.746)
La (0.719, 0.719, 0.284)
La (0.985, 0.985, 0.253)
Pr (0.443, 0.443, 0.719)
Pr (0.557, 0.557, 0.281)
Tm (0.141, 0.141, 0.492)
Tm (0.859, 0.859, 0.508)

* symmetry: C2/m, No. 12
* V: 450.6 Å³ per cell
* total magnetic moment: 0.0 μB/f.u.
* formation energy from the elements: 161.9 meV/atom

[6]
Material: AcLa4Pr2Tm
Method: DFT, PBE
State: relaxed

Unit cell a=11.781 b=5.275 c=10.609 alpha=90.00 beta=116.67 gamma=90.00
Atoms (fractional coordinates):
Ac (0.000, 0.000, 0.000)
Ac (0.500, 0.500, 0.000)
La (0.247, 0.000, 0.869)
La (0.248, 0.500, 0.621)
La (0.252, 0.000, 0.379)
La (0.253, 0.500, 0.131)
La (0.747, 0.500, 0.869)
La (0.748, 0.000, 0.621)
La (0.752, 0.500, 0.379)
La (0.753, 0.000, 0.131)
Pr (0.002, 0.500, 0.744)
Pr (0.498, 0.000, 0.256)
Pr (0.502, 0.000, 0.744)
Pr (0.998, 0.500, 0.256)
Tm (0.000, 0.000, 0.500)
Tm (0.500, 0.500, 0.500)

* symmetry: C2/m, No. 12
* V: 589.2 Å³ per cell
* total magnetic moment: 0.0 μB/f.u.
* formation energy from the elements: 24.4 meV/atom

[7]
Material: AcLaPr5Tm2
Method: DFT, PBE
State: relaxed

Unit cell a=12.434 b=12.434 c=9.683 alpha=90.00 beta=90.00 gamma=153.59
Atoms (fractional coordinates):
Ac (0.103, 0.897, 0.500)
Ac (0.897, 0.103, 0.000)
La (0.271, 0.729, 0.109)
La (0.729, 0.271, 0.609)
Pr (0.026, 0.974, 0.831)
Pr (0.104, 0.896, 0.113)
Pr (0.186, 0.814, 0.809)
Pr (0.240, 0.760, 0.425)
Pr (0.494, 0.506, 0.614)
Pr (0.506, 0.494, 0.114)
Pr (0.760, 0.240, 0.925)
Pr (0.814, 0.186, 0.309)
Pr (0.896, 0.104, 0.613)
Pr (0.974, 0.026, 0.331)
Tm (0.327, 0.673, 0.741)
Tm (0.388, 0.612, 0.376)
Tm (0.612, 0.388, 0.876)
Tm (0.673, 0.327, 0.241)

* symmetry: Cmc2_1, No. 36
* V: 666.0 Å³ per cell
* total magnetic moment: 0.0 μB/f.u.
* formation energy from the elements: 140.9 meV/atom

[8]
Material: AcLa2PrY2
Method: DFT, PBE
State: relaxed

Unit cell a=6.657 b=19.095 c=3.557 alpha=90.00 beta=90.00 gamma=90.00
Atoms (fractional coordinates):
Ac (0.000, 0.000, 0.000)
Ac (0.500, 0.500, 0.500)
La (0.190, 0.194, 0.000)
La (0.310, 0.694, 0.500)
La (0.690, 0.306, 0.500)
La (0.810, 0.806, 0.000)
Pr (0.000, 0.500, 0.000)
Pr (0.500, 0.000, 0.500)
Y (0.187, 0.355, 0.500)
Y (0.313, 0.855, 0.000)
Y (0.687, 0.145, 0.000)
Y (0.813, 0.645, 0.500)

* symmetry: Pnnm, No. 58
* V: 452.1 Å³ per cell
* total magnetic moment: 0.0 μB/f.u.
* formation energy from the elements: 267.9 meV/atom